# PBE Pr2Y2Se3S2, optimized geometry
data_Pr2Y2Se3S2
_cell_length_a 8.338
_cell_length_b 8.338
_cell_length_c 8.338
_cell_angle_alpha 140.23
_cell_angle_beta 140.23
_cell_angle_gamma 57.51
_symmetry_space_group_name_H-M 'P 1'
_symmetry_Int_Tables_number 1
loop_
_symmetry_equiv_pos_as_xyz
'x,y,z'
loop_
_atom_site_label
_atom_site_type_symbol
_atom_site_fract_x
_atom_site_fract_y
_atom_site_fract_z
Pr1 Pr 0.211 0.211 0.000
Pr2 Pr 0.789 0.789 0.000
Y1 Y 0.000 0.500 0.500
Y2 Y 0.500 0.000 0.500
Se1 Se 0.000 0.000 0.000
Se2 Se 0.250 0.750 0.500
Se3 Se 0.750 0.250 0.500
S1 S 0.403 0.403 0.000
S2 S 0.597 0.597 0.000
# D(E_F), states/eV per atom: 0.659
# Uncorrected formation energy, meV per atom: -1539
# Magnetic moment, μB per cell: 0.0
# Uncorrected energy, eV/cell: -55.05